# Sm8GeTe3S3 PBE relaxed
# Magnetization in μB per cell: 0.00
# Formation energy without anion corrections in eV per atom: -1.50
# DOS at the Fermi energy in states/eV/f.u.: 6.4
# Density in Mg/m³: 6.86
# E in eV per cell: -260.0
data_Sm8GeTe3S3
_symmetry_space_group_name_H-M 'R -3 m'
_symmetry_Int_Tables_number 166
_symmetry_space_group_name_Hall '-R 3 2"'
_cell_length_a 8.3044
_cell_length_b 8.3044
_cell_length_c 21.3237
_cell_angle_alpha 90.00
_cell_angle_beta 90.00
_cell_angle_gamma 120.00
loop_
_atom_site_label
_atom_site_fract_x
_atom_site_fract_y
_atom_site_fract_z
_atom_site_occupancy
Sm1 0.0000 0.0000 0.2351 1
Sm2 0.0078 0.5039 0.7605 1
Ge1 0.0000 0.0000 0.5000 1
Te1 0.0000 0.5000 0.0000 1
S1 0.0000 0.5000 0.5000 1